Entry 1:
The following is a PBE calculation of SrCoTe2 after structural relaxation, from OQMD. Values from VASP.

Quantum ESPRESSO input file:
```
&SYSTEM
  ibrav = 0, nat = 16, ntyp = 3
/
ATOMIC_SPECIES
Sr 87.62 Sr.upf
Co 58.93 Co.upf
Te 127.60 Te.upf
ATOMIC_POSITIONS crystal
Sr 0.000 0.000 0.000
Sr 0.000 0.500 0.500
Sr 0.500 0.000 0.500
Sr 0.500 0.500 0.000
Co 0.250 0.250 0.250
Co 0.250 0.750 0.750
Co 0.750 0.250 0.750
Co 0.750 0.750 0.250
Te 0.000 0.000 0.500
Te 0.000 0.500 0.000
Te 0.250 0.250 0.750
Te 0.250 0.750 0.250
Te 0.500 0.000 0.000
Te 0.500 0.500 0.500
Te 0.750 0.250 0.250
Te 0.750 0.750 0.750
CELL_PARAMETERS angstrom
7.508 0.000 0.000
0.000 7.508 0.000
0.000 0.000 7.508
```

Values from the calculation:
E = -57.81 eV/cell


Entry 2:
The following is a PBE calculation of KRbNbSe2S after structural relaxation, from OQMD. Values from VASP.

Quantum ESPRESSO input file:
```
&SYSTEM
  ibrav = 0, nat = 12, ntyp = 5
/
ATOMIC_SPECIES
K 39.10 K.upf
Rb 85.47 Rb.upf
Nb 92.91 Nb.upf
Se 78.96 Se.upf
S 32.06 S.upf
ATOMIC_POSITIONS crystal
K 0.092 0.190 0.143
K 0.908 0.810 0.857
Rb 0.329 0.576 0.308
Rb 0.671 0.424 0.692
Nb 0.376 0.054 0.667
Nb 0.624 0.946 0.333
Se 0.169 0.377 0.728
Se 0.374 0.823 0.908
Se 0.626 0.177 0.092
Se 0.831 0.623 0.272
S 0.266 0.968 0.474
S 0.734 0.032 0.526
CELL_PARAMETERS angstrom
7.138 0.000 0.000
3.119 7.176 0.000
2.974 0.835 8.039
```

Values from the calculation:
E = -60.15 eV/cell


Entry 3:
The following is a PBE calculation of TbBiAs after structural relaxation, from OQMD. Values from VASP.

Quantum ESPRESSO input file:
```
&SYSTEM
  ibrav = 0, nat = 12, ntyp = 3
/
ATOMIC_SPECIES
Tb 158.93 Tb.upf
Bi 208.98 Bi.upf
As 74.92 As.upf
ATOMIC_POSITIONS crystal
Tb 0.000 0.000 0.000
Tb 0.000 0.500 0.500
Tb 0.500 0.000 0.500
Tb 0.500 0.500 0.000
Bi 0.000 0.000 0.500
Bi 0.000 0.500 0.000
Bi 0.500 0.000 0.000
Bi 0.500 0.500 0.500
As 0.250 0.250 0.750
As 0.250 0.750 0.250
As 0.750 0.250 0.250
As 0.750 0.750 0.750
CELL_PARAMETERS angstrom
7.024 0.000 0.000
0.000 7.024 0.000
0.000 0.000 7.024
```

Values from the calculation:
E = -58.09 eV/cell


Entry 4:
The following is a PBE calculation of Ho2ErLuIn2 after structural relaxation, from OQMD. Values from VASP.

Quantum ESPRESSO input file:
```
&SYSTEM
  ibrav = 0, nat = 6, ntyp = 4
/
ATOMIC_SPECIES
Ho 164.93 Ho.upf
Er 167.26 Er.upf
Lu 174.97 Lu.upf
In 114.82 In.upf
ATOMIC_POSITIONS crystal
Ho 0.000 0.000 0.249
Ho 0.000 0.000 0.751
Er 0.667 0.333 0.500
Lu 0.333 0.667 0.000
In 0.333 0.667 0.500
In 0.667 0.333 0.000
CELL_PARAMETERS angstrom
5.328 0.000 0.000
-2.664 4.614 0.000
0.000 0.000 6.665
```

Values from the calculation:
E = -25.80 eV/cell


Entry 5:
The following is a PBE calculation of Tb2AgAuSe4 after structural relaxation, from OQMD. Values from VASP.

Quantum ESPRESSO input file:
```
&SYSTEM
  ibrav = 0, nat = 8, ntyp = 4
/
ATOMIC_SPECIES
Tb 158.93 Tb.upf
Ag 107.87 Ag.upf
Au 196.97 Au.upf
Se 78.96 Se.upf
ATOMIC_POSITIONS crystal
Tb 0.000 0.000 0.248
Tb 0.000 0.000 0.752
Ag 0.667 0.333 0.500
Au 0.333 0.667 0.000
Se 0.333 0.667 0.154
Se 0.333 0.667 0.846
Se 0.667 0.333 0.343
Se 0.667 0.333 0.657
CELL_PARAMETERS angstrom
4.260 0.000 0.000
-2.130 3.689 0.000
0.000 0.000 15.809
```

Values from the calculation:
E = -38.48 eV/cell


Entry 6:
The following is a PBE calculation of InCoHg after structural relaxation, from OQMD. Values from VASP.

Quantum ESPRESSO input file:
```
&SYSTEM
  ibrav = 0, nat = 12, ntyp = 3
/
ATOMIC_SPECIES
In 114.82 In.upf
Co 58.93 Co.upf
Hg 200.59 Hg.upf
ATOMIC_POSITIONS crystal
In 0.000 0.000 0.000
In 0.000 0.500 0.500
In 0.500 0.000 0.500
In 0.500 0.500 0.000
Co 0.250 0.250 0.750
Co 0.250 0.750 0.250
Co 0.750 0.250 0.250
Co 0.750 0.750 0.750
Hg 0.000 0.000 0.500
Hg 0.000 0.500 0.000
Hg 0.500 0.000 0.000
Hg 0.500 0.500 0.500
CELL_PARAMETERS angstrom
6.214 0.000 0.000
0.000 6.214 0.000
0.000 0.000 6.214
```

Values from the calculation:
E = -37.03 eV/cell


Entry 7:
The following is a PBE calculation of Ta3Nb after structural relaxation, from OQMD. Values from VASP.

Quantum ESPRESSO input file:
```
&SYSTEM
  ibrav = 0, nat = 16, ntyp = 2
/
ATOMIC_SPECIES
Ta 180.95 Ta.upf
Nb 92.91 Nb.upf
ATOMIC_POSITIONS crystal
Ta 0.000 0.000 0.000
Ta 0.000 0.500 0.500
Ta 0.250 0.250 0.250
Ta 0.250 0.250 0.750
Ta 0.250 0.750 0.250
Ta 0.250 0.750 0.750
Ta 0.500 0.000 0.500
Ta 0.500 0.500 0.000
Ta 0.750 0.250 0.250
Ta 0.750 0.250 0.750
Ta 0.750 0.750 0.250
Ta 0.750 0.750 0.750
Nb 0.000 0.000 0.500
Nb 0.000 0.500 0.000
Nb 0.500 0.000 0.000
Nb 0.500 0.500 0.500
CELL_PARAMETERS angstrom
6.630 0.000 0.000
0.000 6.630 0.000
0.000 0.000 6.630
```

Values from the calculation:
formation enthalpy at 0 K = 0.2 kJ per mole of atoms


Entry 8:
The following is a PBE calculation of HoTlGa after structural relaxation, from OQMD. Values from VASP.

Quantum ESPRESSO input file:
```
&SYSTEM
  ibrav = 0, nat = 12, ntyp = 3
/
ATOMIC_SPECIES
Ho 164.93 Ho.upf
Tl 204.38 Tl.upf
Ga 69.72 Ga.upf
ATOMIC_POSITIONS crystal
Ho 0.000 0.000 0.000
Ho 0.000 0.500 0.500
Ho 0.500 0.000 0.500
Ho 0.500 0.500 0.000
Tl 0.250 0.250 0.250
Tl 0.250 0.750 0.750
Tl 0.750 0.250 0.750
Tl 0.750 0.750 0.250
Ga 0.250 0.250 0.750
Ga 0.250 0.750 0.250
Ga 0.750 0.250 0.250
Ga 0.750 0.750 0.750
CELL_PARAMETERS angstrom
6.992 0.000 0.000
0.000 6.992 0.000
0.000 0.000 6.992
```

Values from the calculation:
E = -40.02 eV/cell


Entry 9:
The following is a PBE calculation of NaSn5Pt3 after structural relaxation, from OQMD. Values from VASP.

Quantum ESPRESSO input file:
```
&SYSTEM
  ibrav = 0, nat = 9, ntyp = 3
/
ATOMIC_SPECIES
Na 22.99 Na.upf
Sn 118.71 Sn.upf
Pt 195.08 Pt.upf
ATOMIC_POSITIONS crystal
Na 0.000 0.000 0.000
Sn 0.000 0.000 0.500
Sn 0.333 0.667 0.199
Sn 0.333 0.667 0.801
Sn 0.667 0.333 0.199
Sn 0.667 0.333 0.801
Pt 0.000 0.500 0.500
Pt 0.500 0.000 0.500
Pt 0.500 0.500 0.500
CELL_PARAMETERS angstrom
5.534 0.000 0.000
-2.767 4.792 0.000
0.000 0.000 8.238
```

Values from the calculation:
E = -41.90 eV/cell


Entry 10:
The following is a PBE calculation of DyGeTe2AuS after structural relaxation, from OQMD. Values from VASP.

Quantum ESPRESSO input file:
```
&SYSTEM
  ibrav = 0, nat = 12, ntyp = 5
/
ATOMIC_SPECIES
Dy 162.50 Dy.upf
Ge 72.64 Ge.upf
Te 127.60 Te.upf
Au 196.97 Au.upf
S 32.06 S.upf
ATOMIC_POSITIONS crystal
Dy 0.000 0.000 0.000
Dy 0.000 0.000 0.500
Ge 0.232 0.768 0.750
Ge 0.768 0.232 0.250
Te 0.344 0.656 0.057
Te 0.344 0.656 0.443
Te 0.656 0.344 0.557
Te 0.656 0.344 0.943
Au 0.483 0.517 0.250
Au 0.517 0.483 0.750
S 0.080 0.920 0.250
S 0.920 0.080 0.750
CELL_PARAMETERS angstrom
2.078 -7.395 0.000
2.078 7.395 0.000
0.000 0.000 10.022
```

Values from the calculation:
E = -52.83 eV/cell


Entry 11:
The following is a PBE calculation of HoTmNb2Ge2 after structural relaxation, from OQMD. Values from VASP.

Quantum ESPRESSO input file:
```
&SYSTEM
  ibrav = 0, nat = 6, ntyp = 4
/
ATOMIC_SPECIES
Ho 164.93 Ho.upf
Tm 168.93 Tm.upf
Nb 92.91 Nb.upf
Ge 72.64 Ge.upf
ATOMIC_POSITIONS crystal
Ho 0.000 0.000 0.000
Tm 0.500 0.500 0.295
Nb 0.000 0.500 0.646
Nb 0.500 0.000 0.646
Ge 0.000 0.000 0.397
Ge 0.500 0.500 0.895
CELL_PARAMETERS angstrom
4.017 0.000 0.000
0.000 4.017 0.000
0.000 0.000 7.780
```

Values from the calculation:
E = -42.34 eV/cell


Entry 12:
The following is a PBE calculation of ErAgTeO after structural relaxation, from OQMD. Values from VASP.

Quantum ESPRESSO input file:
```
&SYSTEM
  ibrav = 0, nat = 8, ntyp = 4
/
ATOMIC_SPECIES
Er 167.26 Er.upf
Ag 107.87 Ag.upf
Te 127.60 Te.upf
O 16.00 O.upf
ATOMIC_POSITIONS crystal
Er 0.000 0.132 0.000
Er 0.000 0.868 0.500
Ag 0.500 0.256 0.618
Ag 0.500 0.744 0.118
Te 0.500 0.337 0.212
Te 0.500 0.663 0.712
O 0.000 0.112 0.689
O 0.000 0.888 0.189
CELL_PARAMETERS angstrom
4.418 0.000 0.000
0.000 6.709 0.000
0.000 0.000 6.734
```

Values from the calculation:
E = -42.53 eV/cell